1.
Compound: Li2MnTe
Source: Alexandria
Functional: SCAN
Structure: single point on PBEsol structure

Computed properties:
The raw total energy comes out at -62.11 eV per cell. Its uncorrected formation energy is -0.46 eV/atom.

abc: 4.0190 4.0190 4.1329
angles: 90.00 90.00 90.00
With the nearest neighbours (Å) after each atom.
Sites, in units of the cell vectors:
Li (0.0000, 0.5000, 0.0000)  4 Li 2.84, 4 Mn 2.88, 4 Te 2.88
Li (0.5000, 0.0000, 0.0000)  4 Li 2.84, 4 Mn 2.88, 4 Te 2.88
Mn (0.0000, 0.0000, 0.5000)  4 Te 2.84, 8 Li 2.88
Te (0.5000, 0.5000, 0.5000)  4 Mn 2.84, 8 Li 2.88

=====

2.
Compound: Co2AgSb
Source: Alexandria
Functional: SCAN
Structure: single point on PBEsol structure

Computed properties:
The raw total energy comes out at -101.96 eV per cell. Its uncorrected formation energy is 0.32 eV/atom.

abc: 2.9719 3.1343 6.6767
angles: 90.00 90.00 90.00
With the nearest neighbours (Å) after each atom.
Sites, in units of the cell vectors:
Co (0.0000, 0.0000, 0.0000)  4 Co 2.40
Co (0.5000, 0.5000, 0.1568)  4 Co 2.40, 1 Ag 2.69
Ag (0.5000, 0.5000, 0.7544)  5 Co 2.69-2.71, 2 Ag 2.97
Sb (0.0000, 0.0000, 0.4031)  5 Co 2.69-2.71, 2 Sb 2.97

=====

3.
Compound: ScCuOs2
Source: Alexandria
Functional: SCAN
Structure: single point on PBEsol structure

Computed properties:
Its polymorph energy (0 for the lowest one) is 203 meV/atom. The raw total energy comes out at -172.35 eV per cell. The value obtained for the energy of formation is 0.211 eV/atom.

abc: 2.6945 2.6945 8.5952
angles: 90.00 90.00 112.23
With the nearest neighbours (Å) after each atom.
Sites, in units of the cell vectors:
Sc (0.0000, 0.0000, 0.0000)  4 Os 2.67, 4 Sc 2.69
Cu (0.0000, 0.0000, 0.5000)  4 Os 2.57, 4 Cu 2.69
Os (0.5000, 0.5000, 0.2574)  2 Cu 2.57, 2 Sc 2.67, 4 Os 2.69
Os (0.5000, 0.5000, 0.7426)  2 Cu 2.57, 2 Sc 2.67, 4 Os 2.69

=====

4.
Compound: Sc2Mn
Source: Alexandria
Functional: SCAN
Structure: single point on PBEsol structure

Computed properties:
The raw total energy comes out at -93.66 eV per cell. The value obtained for the energy of formation is -0.033 eV/atom.

abc: 7.5937 7.5937 4.7005
angles: 90.00 90.00 155.88
With the nearest neighbours (Å) after each atom.
Sites, in units of the cell vectors:
Sc (0.0823, 0.9177, 0.7500)  6 Mn 2.66-2.85
Sc (0.2150, 0.7850, 0.2500)  2 Mn 2.78, 6 Sc 3.02-3.07
Sc (0.7850, 0.2150, 0.7500)  2 Mn 2.78, 6 Sc 3.02-3.07
Sc (0.9177, 0.0823, 0.2500)  6 Mn 2.66-2.85
Mn (0.4387, 0.5613, 0.7500)  8 Sc 2.66-2.85, 2 Mn 2.97
Mn (0.5613, 0.4387, 0.2500)  8 Sc 2.66-2.85, 2 Mn 2.97

=====

5.
Compound: LiFeTe3
Source: Alexandria
Functional: SCAN
Structure: single point on PBEsol structure

Computed properties:
The raw total energy comes out at -128.98 eV per cell. Its uncorrected formation energy is 0.66 eV/atom.

abc: 4.9521 4.9521 4.9521
angles: 90.00 90.00 90.00
With the nearest neighbours (Å) after each atom.
Sites, in units of the cell vectors:
Li (0.0000, 0.0000, 0.0000)  6 Te 2.48
Fe (0.5000, 0.5000, 0.5000)  12 Te 3.50
Te (0.0000, 0.0000, 0.5000)  2 Li 2.48
Te (0.0000, 0.5000, 0.0000)  2 Li 2.48
Te (0.5000, 0.0000, 0.0000)  2 Li 2.48

=====

6.
Compound: YIrSe2
Source: Alexandria
Functional: SCAN
Structure: single point on PBEsol structure

Computed properties:
Its polymorph energy (0 for the lowest one) is 111 meV/atom. The raw total energy comes out at -142.15 eV per cell. Its uncorrected formation energy is -0.76 eV/atom.

abc: 3.4273 3.7306 6.2288
angles: 90.00 90.00 90.00
With the nearest neighbours (Å) after each atom.
Sites, in units of the cell vectors:
Y (0.0000, 0.0000, 0.0000)  8 Se 2.96
Ir (0.5000, 0.0000, 0.5000)  4 Se 2.44
Se (0.5000, 0.5000, 0.2474)  2 Ir 2.44
Se (0.5000, 0.5000, 0.7526)  2 Ir 2.44

=====

7.
Compound: Ir4Pt
Source: Alexandria
Functional: SCAN
Structure: single point on PBEsol structure

Computed properties:
The raw total energy comes out at -354.28 eV per cell. The value obtained for the energy of formation is 0.062 eV/atom.

abc: 4.7114 4.7114 4.7114
angles: 99.59 99.59 131.83
With the nearest neighbours (Å) after each atom.
Sites, in units of the cell vectors:
Ir (0.0979, 0.6977, 0.7956)  9 Ir 2.68-2.74, 3 Pt 2.73
Ir (0.3023, 0.0979, 0.4002)  9 Ir 2.68-2.74, 3 Pt 2.73
Ir (0.6977, 0.9021, 0.5998)  9 Ir 2.68-2.74, 3 Pt 2.73
Ir (0.9021, 0.3023, 0.2044)  9 Ir 2.68-2.74, 3 Pt 2.73
Pt (0.5000, 0.5000, 0.0000)  12 Ir 2.73

=====

8.
Compound: Na2YPCO7
Source: Alexandria
Functional: SCAN
Structure: single point on PBEsol structure

Computed properties:
The raw total energy comes out at -262.79 eV per cell. Its uncorrected formation energy is -2.58 eV/atom.

abc: 5.0289 6.9377 9.3761
angles: 90.00 90.60 90.00
With the nearest neighbours (Å) after each atom.
Sites, in units of the cell vectors:
Na (0.2398, 0.0119, 0.2096)  3 O 2.25-2.38
Na (0.2398, 0.4881, 0.2096)  3 O 2.25-2.38
Na (0.7602, 0.5119, 0.7904)  3 O 2.25-2.38
Na (0.7602, 0.9881, 0.7904)  3 O 2.25-2.38
Y (0.2253, 0.2500, 0.6253)  6 O 2.23-2.39
Y (0.7747, 0.7500, 0.3747)  6 O 2.23-2.39
P (0.3039, 0.7500, 0.5857)  4 O 1.54-1.57
P (0.6961, 0.2500, 0.4143)  4 O 1.54-1.57
C (0.2589, 0.2500, 0.9154)  3 O 1.26-1.32
C (0.7411, 0.7500, 0.0846)  3 O 1.26-1.32
O (0.0286, 0.2500, 0.8491)  1 C 1.31
O (0.1852, 0.5673, 0.6530)  1 P 1.54
O (0.1852, 0.9327, 0.6530)  1 P 1.54
O (0.2437, 0.7500, 0.4210)  1 P 1.57
O (0.2853, 0.2500, 0.0487)  1 C 1.26
O (0.3877, 0.2500, 0.3983)  1 P 1.56
O (0.4643, 0.2500, 0.8287)  1 C 1.32
O (0.5357, 0.7500, 0.1713)  1 C 1.32
O (0.6123, 0.7500, 0.6017)  1 P 1.56
O (0.7147, 0.7500, 0.9513)  1 C 1.26
O (0.7563, 0.2500, 0.5790)  1 P 1.57
O (0.8148, 0.0673, 0.3470)  1 P 1.54
O (0.8148, 0.4327, 0.3470)  1 P 1.54
O (0.9714, 0.7500, 0.1509)  1 C 1.31

=====

9.
Compound: Cd3AsRu
Source: Alexandria
Functional: SCAN
Structure: single point on PBEsol structure

Computed properties:
The raw total energy comes out at -140.52 eV per cell. The value obtained for the energy of formation is 1.147 eV/atom.

abc: 4.9768 4.9768 4.9768
angles: 90.00 90.00 90.00
With the nearest neighbours (Å) after each atom.
Sites, in units of the cell vectors:
Cd (0.0000, 0.0000, 0.5000)  2 As 2.49
Cd (0.0000, 0.5000, 0.0000)  2 As 2.49
Cd (0.5000, 0.0000, 0.0000)  2 As 2.49
As (0.0000, 0.0000, 0.0000)  6 Cd 2.49
Ru (0.5000, 0.5000, 0.5000)  12 Cd 3.52

=====

10.
Compound: MgNb2P
Source: Alexandria
Functional: SCAN
Structure: single point on PBEsol structure

Computed properties:
The raw total energy comes out at -161.69 eV per cell. The value obtained for the energy of formation is 0.197 eV/atom.

abc: 10.0258 10.0258 10.0258
angles: 158.02 158.02 31.28
With the nearest neighbours (Å) after each atom.
Sites, in units of the cell vectors:
Mg (0.0000, 0.0000, 0.0000)  4 P 2.70, 4 Nb 2.79
Mg (0.7500, 0.2500, 0.5000)  4 P 2.70, 4 Nb 2.79
Nb (0.1392, 0.6250, 0.0142)  4 Nb 2.63-2.78, 2 P 2.75, 2 Mg 2.79
Nb (0.3750, 0.3892, 0.5142)  4 Nb 2.63-2.78, 2 P 2.75, 2 Mg 2.79
Nb (0.6108, 0.1250, 0.9858)  4 Nb 2.63-2.78, 2 P 2.75, 2 Mg 2.79
Nb (0.8750, 0.8608, 0.4858)  4 Nb 2.63-2.78, 2 P 2.75, 2 Mg 2.79
P (0.2500, 0.7500, 0.5000)  4 Mg 2.70, 4 Nb 2.75
P (0.5000, 0.5000, 0.0000)  4 Mg 2.70, 4 Nb 2.75

=====

11.
Compound: ZrAl2Mo
Source: Alexandria
Functional: SCAN
Structure: single point on PBEsol structure

Computed properties:
Its polymorph energy (0 for the lowest one) is 34 meV/atom. The raw total energy comes out at -81.94 eV per cell. The value obtained for the energy of formation is -0.214 eV/atom.

abc: 2.8403 2.8403 8.2860
angles: 90.00 90.00 90.00
With the nearest neighbours (Å) after each atom.
Sites, in units of the cell vectors:
Zr (0.0000, 0.0000, 0.0000)  4 Zr 2.84, 8 Al 2.99
Al (0.5000, 0.5000, 0.2674)  4 Mo 2.78, 4 Al 2.84, 4 Zr 2.99
Al (0.5000, 0.5000, 0.7326)  4 Mo 2.78, 4 Al 2.84, 4 Zr 2.99
Mo (0.0000, 0.0000, 0.5000)  8 Al 2.78, 4 Mo 2.84

=====

How do the records compare in total magnetization? In the order shown, they have 4.32, 3.35, 0.00, 5.68, 2.95, 0.00, 0.00, 0.00, 1.90, 0.00, 0.00 Bohr magnetons per cell.